Arrangement P

## AcTb2Pd (PBE)

Data for a relaxed structure of AcTb2Pd. Values from VASP.

The structure in Quantum ESPRESSO input format:
```
&SYSTEM
  ibrav = 0, nat = 4, ntyp = 3
/
ATOMIC_SPECIES
Ac 227.00 Ac.upf
Tb 158.93 Tb.upf
Pd 106.42 Pd.upf
CELL_PARAMETERS angstrom
1.996 1.153 9.543
-1.996 1.153 9.543
0.000 -2.305 9.543
ATOMIC_POSITIONS crystal
Ac 0.000 0.000 0.000
Tb 0.224 0.224 0.224
Tb 0.776 0.776 0.776
Pd 0.500 0.500 0.500
```

Computed properties:
For the magnetization, the calculation gives 0.0 μB/cell. Its space-group type is R-3m, No. 166. Its density is 8.21 g/cm3.

=====

Arrangement Q

## AcTb2Pd (PBE)

Data for a relaxed structure of AcTb2Pd. Values from VASP.

The structure in Quantum ESPRESSO input format:
```
&SYSTEM
  ibrav = 0, nat = 4, ntyp = 3
/
ATOMIC_SPECIES
Ac 227.00 Ac.upf
Tb 158.93 Tb.upf
Pd 106.42 Pd.upf
CELL_PARAMETERS angstrom
5.423 0.000 0.000
0.000 5.423 0.000
0.000 0.000 3.882
ATOMIC_POSITIONS crystal
Ac 0.000 0.000 0.000
Tb 0.000 0.500 0.500
Tb 0.500 0.000 0.500
Pd 0.500 0.500 0.000
```

Computed properties:
For the magnetization, the calculation gives 0.0 μB/cell. Its space-group type is P4/mmm, No. 123. Its density is 9.47 g/cm3.

=====

It turns out arrangement P is the most stable, with the second structure 281 meV/atom higher.

=====

Arrangement P

## AcTb2Pd (PBE)

Data for a relaxed structure of AcTb2Pd. Values from VASP.

The structure in Quantum ESPRESSO input format:
```
&SYSTEM
  ibrav = 0, nat = 16, ntyp = 3
/
ATOMIC_SPECIES
Ac 227.00 Ac.upf
Tb 158.93 Tb.upf
Pd 106.42 Pd.upf
CELL_PARAMETERS angstrom
7.344 0.000 0.000
0.000 10.058 0.000
0.000 0.000 6.670
ATOMIC_POSITIONS crystal
Ac 0.023 0.250 0.142
Ac 0.477 0.750 0.642
Ac 0.523 0.250 0.358
Ac 0.977 0.750 0.858
Tb 0.177 0.064 0.668
Tb 0.177 0.436 0.668
Tb 0.323 0.564 0.168
Tb 0.323 0.936 0.168
Tb 0.677 0.064 0.832
Tb 0.677 0.436 0.832
Tb 0.823 0.564 0.332
Tb 0.823 0.936 0.332
Pd 0.113 0.750 0.408
Pd 0.387 0.250 0.908
Pd 0.613 0.750 0.092
Pd 0.887 0.250 0.592
```

Computed properties:
For the magnetization, the calculation gives 0.0 μB/cell. Its space-group type is Pnma, No. 62. Its density is 8.78 g/cm3.

=====

Arrangement Q

## AcTb2Pd (PBE)

Data for a relaxed structure of AcTb2Pd. Values from VASP.

The structure in Quantum ESPRESSO input format:
```
&SYSTEM
  ibrav = 0, nat = 4, ntyp = 3
/
ATOMIC_SPECIES
Ac 227.00 Ac.upf
Tb 158.93 Tb.upf
Pd 106.42 Pd.upf
CELL_PARAMETERS angstrom
3.650 0.000 0.000
0.000 3.650 0.000
0.000 0.000 8.962
ATOMIC_POSITIONS crystal
Ac 0.000 0.000 0.000
Tb 0.500 0.500 0.317
Tb 0.500 0.500 0.683
Pd 0.000 0.000 0.500
```

Computed properties:
For the magnetization, the calculation gives 0.0 μB/cell. Its space-group type is P4/mmm, No. 123. Its density is 9.06 g/cm3.

=====

It turns out arrangement P is the most stable, with the second structure 47 meV/atom higher.

=====

Arrangement P

## AcTePd (PBE)

Data for a relaxed structure of AcTePd. Values from VASP.

The structure in Quantum ESPRESSO input format:
```
&SYSTEM
  ibrav = 0, nat = 6, ntyp = 3
/
ATOMIC_SPECIES
Ac 227.00 Ac.upf
Te 127.60 Te.upf
Pd 106.42 Pd.upf
CELL_PARAMETERS angstrom
4.908 0.000 0.000
0.000 4.908 0.000
0.000 0.000 7.381
ATOMIC_POSITIONS crystal
Ac 0.000 0.500 0.000
Ac 0.500 0.000 0.500
Te 0.000 0.500 0.500
Te 0.500 0.000 0.000
Pd 0.000 0.000 0.250
Pd 0.000 0.000 0.750
```

Computed properties:
For the magnetization, the calculation gives 0.0 μB/cell. Its space-group type is P4_2/mmc, No. 131. Its density is 8.61 g/cm3.

=====

Arrangement Q

## AcTePd (PBE)

Data for a relaxed structure of AcTePd. Values from VASP.

The structure in Quantum ESPRESSO input format:
```
&SYSTEM
  ibrav = 0, nat = 3, ntyp = 3
/
ATOMIC_SPECIES
Ac 227.00 Ac.upf
Te 127.60 Te.upf
Pd 106.42 Pd.upf
CELL_PARAMETERS angstrom
4.679 0.000 0.000
-2.340 4.052 0.000
0.000 0.000 4.361
ATOMIC_POSITIONS crystal
Ac 0.000 0.000 0.000
Te 0.333 0.667 0.500
Pd 0.667 0.333 0.498
```

Computed properties:
For the magnetization, the calculation gives 0.0 μB/cell. Its space-group type is P3m1, No. 156. Its density is 9.26 g/cm3.

=====

Arrangement R

## AcTePd (PBE)

Data for a relaxed structure of AcTePd. Values from VASP.

The structure in Quantum ESPRESSO input format:
```
&SYSTEM
  ibrav = 0, nat = 6, ntyp = 3
/
ATOMIC_SPECIES
Ac 227.00 Ac.upf
Te 127.60 Te.upf
Pd 106.42 Pd.upf
CELL_PARAMETERS angstrom
6.843 -2.206 0.000
6.843 2.206 0.000
-1.019 0.000 5.602
ATOMIC_POSITIONS crystal
Ac 0.124 0.124 0.301
Ac 0.876 0.876 0.699
Te 0.400 0.400 0.231
Te 0.600 0.600 0.769
Pd 0.239 0.239 0.836
Pd 0.761 0.761 0.164
```

Computed properties:
For the magnetization, the calculation gives 0.0 μB/cell. Its space-group type is C2/m, No. 12. Its density is 9.05 g/cm3.

=====

It turns out arrangement Q is the most stable, with the second structure 87 meV/atom higher.

=====

Arrangement P

## AcTePd2 (PBE)

Data for a relaxed structure of AcTePd2. Values from VASP.

The structure in Quantum ESPRESSO input format:
```
&SYSTEM
  ibrav = 0, nat = 4, ntyp = 3
/
ATOMIC_SPECIES
Ac 227.00 Ac.upf
Te 127.60 Te.upf
Pd 106.42 Pd.upf
CELL_PARAMETERS angstrom
3.948 0.000 0.000
0.000 3.948 0.000
0.000 0.000 6.318
ATOMIC_POSITIONS crystal
Ac 0.000 0.000 0.000
Te 0.000 0.000 0.500
Pd 0.500 0.500 0.258
Pd 0.500 0.500 0.742
```

Computed properties:
For the magnetization, the calculation gives 0.0 μB/cell. Its space-group type is P4/mmm, No. 123. Its density is 9.57 g/cm3.

=====

Arrangement Q

## AcTePd2 (PBE)

Data for a relaxed structure of AcTePd2. Values from VASP.

The structure in Quantum ESPRESSO input format:
```
&SYSTEM
  ibrav = 0, nat = 4, ntyp = 3
/
ATOMIC_SPECIES
Ac 227.00 Ac.upf
Te 127.60 Te.upf
Pd 106.42 Pd.upf
CELL_PARAMETERS angstrom
0.000 3.610 3.610
3.610 0.000 3.610
3.610 3.610 0.000
ATOMIC_POSITIONS crystal
Ac 0.000 0.000 0.000
Te 0.500 0.500 0.500
Pd 0.250 0.250 0.250
Pd 0.750 0.750 0.750
```

Computed properties:
For the magnetization, the calculation gives 0.0 μB/cell. Its space-group type is Fm-3m, No. 225. Its density is 10.01 g/cm3.

=====

It turns out arrangement Q is the most stable, with the second structure 162 meV/atom higher.

=====

Arrangement P

## Ac2ThPd (PBE)

Data for a relaxed structure of Ac2ThPd. Values from VASP.

The structure in Quantum ESPRESSO input format:
```
&SYSTEM
  ibrav = 0, nat = 4, ntyp = 3
/
ATOMIC_SPECIES
Ac 227.00 Ac.upf
Th 232.04 Th.upf
Pd 106.42 Pd.upf
CELL_PARAMETERS angstrom
3.807 0.000 0.000
0.000 3.807 0.000
0.000 0.000 8.989
ATOMIC_POSITIONS crystal
Ac 0.000 0.000 0.209
Ac 0.000 0.000 0.791
Th 0.500 0.500 0.500
Pd 0.500 0.500 0.000
```

Computed properties:
For the magnetization, the calculation gives 0.0 μB/cell. Its space-group type is P4/mmm, No. 123. Its density is 10.10 g/cm3.

=====

Arrangement Q

## Ac2ThPd (PBE)

Data for a relaxed structure of Ac2ThPd. Values from VASP.

The structure in Quantum ESPRESSO input format:
```
&SYSTEM
  ibrav = 0, nat = 4, ntyp = 3
/
ATOMIC_SPECIES
Ac 227.00 Ac.upf
Th 232.04 Th.upf
Pd 106.42 Pd.upf
CELL_PARAMETERS angstrom
1.862 1.075 11.628
-1.862 1.075 11.628
0.000 -2.150 11.628
ATOMIC_POSITIONS crystal
Ac 0.080 0.080 0.080
Ac 0.920 0.920 0.920
Th 0.500 0.500 0.500
Pd 0.000 0.000 0.000
```

Computed properties:
For the magnetization, the calculation gives 0.0 μB/cell. Its space-group type is R-3m, No. 166. Its density is 9.42 g/cm3.

=====

It turns out arrangement P is the most stable, with the second structure 437 meV/atom higher.

=====

Arrangement P

## AcThPd2 (PBE)

Data for a relaxed structure of AcThPd2. Values from VASP.

The structure in Quantum ESPRESSO input format:
```
&SYSTEM
  ibrav = 0, nat = 4, ntyp = 3
/
ATOMIC_SPECIES
Ac 227.00 Ac.upf
Th 232.04 Th.upf
Pd 106.42 Pd.upf
CELL_PARAMETERS angstrom
2.148 1.240 7.097
-2.148 1.240 7.097
0.000 -2.480 7.097
ATOMIC_POSITIONS crystal
Ac 0.000 0.000 0.000
Th 0.500 0.500 0.500
Pd 0.242 0.242 0.242
Pd 0.758 0.758 0.758
```

Computed properties:
For the magnetization, the calculation gives 0.0 μB/cell. Its space-group type is R-3m, No. 166. Its density is 9.83 g/cm3.

=====

Arrangement Q

## AcThPd2 (PBE)

Data for a relaxed structure of AcThPd2. Values from VASP.

The structure in Quantum ESPRESSO input format:
```
&SYSTEM
  ibrav = 0, nat = 8, ntyp = 3
/
ATOMIC_SPECIES
Ac 227.00 Ac.upf
Th 232.04 Th.upf
Pd 106.42 Pd.upf
CELL_PARAMETERS angstrom
5.956 0.000 0.000
0.000 4.743 0.000
-2.479 0.000 7.556
ATOMIC_POSITIONS crystal
Ac 0.228 0.250 0.430
Ac 0.772 0.750 0.570
Th 0.229 0.250 0.937
Th 0.771 0.750 0.063
Pd 0.306 0.750 0.177
Pd 0.336 0.750 0.740
Pd 0.664 0.250 0.260
Pd 0.694 0.250 0.823
```

Computed properties:
For the magnetization, the calculation gives 0.0 μB/cell. Its space-group type is P2_1/m, No. 11. Its density is 10.45 g/cm3.

=====

It turns out arrangement Q is the most stable, with the second structure 49 meV/atom higher.